The following is a DFT calculation (PBE) of a geometry-optimized Mg4CdPd structure.

Geometry as extended XYZ:
```
6
Lattice="4.540 0.000 0.000 0.000 4.540 0.000 0.000 0.000 6.819" Properties=species:S:1:pos:R:3 pbc="T T T"
Mg 0.000 2.270 1.523
Mg 0.000 2.270 5.297
Mg 2.270 0.000 1.523
Mg 2.270 0.000 5.297
Cd 0.000 0.000 3.410
Pd 2.270 2.270 0.000
```

Output
Polymorph energy (0 for the lowest one), kJ/mol of formula units: 62.1
Calculated volume, Å³ per atom: 23.42
ΔE_f, eV per atom: -0.189
SG: P4/mmm, No. 123
Total magnetic moment, μB/cell: 0.00